Below is crystalline TaBP2Cl at its relaxed geometry, with properties calculated at the GGA-PBE level.

Cell: 4.137 4.137 4.212 Å, 90.00 90.00 90.00°
Atoms (fractional coordinates):
P: 0.000 0.500 0.000
P: 0.500 0.000 0.000
Ta: 0.500 0.500 0.500
B: 0.000 0.000 0.000
Cl: 0.000 0.000 0.500

Calculated values
SG = No. 123
Energy relative to the elements, uncorrected = 4.11 eV/f.u.
DFT total energy = -27.09 eV for the cell shown
ΔE to the lowest computed polymorph = 0.00 eV per formula unit